ZrPaTa: relaxed, PBE.

The structure in POSCAR format:
```
ZrPaTa
1.0
0.0000 3.3539 3.3539
3.3539 0.0000 3.3539
3.3539 3.3539 0.0000
Ta Zr Pa
1 1 1
direct
0.2500 0.2500 0.2500 Ta
0.7500 0.7500 0.7500 Zr
0.0000 0.0000 0.0000 Pa
```

Computed properties:
Theoretical density (g cm⁻³): 11.07
Energy relative to the lowest polymorph listed for this composition (meV per atom): 323
Energy of formation from the pure elements (meV per atom): 1171
Total magnetization (Bohr magnetons per cell): 0.40
V (A^3/atom): 25.2
SG: F-43m, No. 216